(1)
## Ca2Ga4Au (PBE-GGA)

Data for a geometry-optimized Ca2Ga4Au structure.

Cell lengths 8.580, 8.580, 8.580 Å; angles 146.73, 146.73, 47.77 degrees
Fractional coordinates of all 7 atoms:
Ca: 0.141 0.141 0.000
Ca: 0.859 0.859 0.000
Ga: 0.000 0.500 0.500
Ga: 0.330 0.330 0.000
Ga: 0.500 0.000 0.500
Ga: 0.670 0.670 0.000
Au: 0.500 0.500 0.000

Values from the calculation:
space group: I4/mmm (139)
electronic total energy: -19.93 eV/cell
DFT formation energy: -77.9 meV per atom

***

(2)
## Sm3Ho4Rh4 (PBE-GGA)

Data for a geometry-optimized Sm3Ho4Rh4 structure.

Cell lengths 9.278, 9.278, 9.278 Å; angles 156.22, 123.04, 62.59 degrees
Fractional coordinates of all 11 atoms:
Sm: 0.000 0.000 0.000
Sm: 0.397 0.897 0.500
Sm: 0.603 0.103 0.500
Ho: 0.021 0.334 0.688
Ho: 0.354 0.666 0.688
Ho: 0.646 0.334 0.312
Ho: 0.979 0.666 0.312
Rh: 0.246 0.246 0.000
Rh: 0.284 0.500 0.784
Rh: 0.716 0.500 0.216
Rh: 0.754 0.754 0.000

Values from the calculation:
space group: Immm (71)
electronic total energy: -68.68 eV/cell
DFT formation energy: -618.5 meV per atom

***

(3)
## Fe2NiAg (PBE-GGA)

Data for a geometry-optimized Fe2NiAg structure.

Cell lengths 4.648, 4.648, 2.649 Å; angles 90.00, 90.00, 111.93 degrees
Fractional coordinates of all 4 atoms:
Fe: 0.000 0.500 0.000
Fe: 0.500 0.000 0.000
Ni: 0.000 0.000 0.500
Ag: 0.500 0.500 0.500

Values from the calculation:
space group: Cmmm (65)
excess energy over the best structure of this formula in the dataset: 0.087 eV/atom
electronic total energy: -24.47 eV/cell
DFT formation energy: 273.0 meV per atom

***

(4)
## CaZrW2 (PBE-GGA)

Data for a geometry-optimized CaZrW2 structure.

Cell lengths 2.954, 2.954, 10.158 Å; angles 90.00, 90.00, 111.22 degrees
Fractional coordinates of all 4 atoms:
Ca: 0.000 0.000 0.000
Zr: 0.500 0.500 0.314
W: 0.000 0.000 0.543
W: 0.500 0.500 0.742

Values from the calculation:
space group: Cmm2 (35)
excess energy over the best structure of this formula in the dataset: 0.064 eV/atom
electronic total energy: -34.61 eV/cell
DFT formation energy: 462.6 meV per atom

***

(5)
## SrMoW2 (PBE-GGA)

Data for a geometry-optimized SrMoW2 structure.

Cell lengths 9.865, 9.865, 9.865 Å; angles 17.87, 17.87, 17.87 degrees
Fractional coordinates of all 4 atoms:
Sr: 0.000 0.000 0.000
Mo: 0.500 0.500 0.500
W: 0.236 0.236 0.236
W: 0.764 0.764 0.764

Values from the calculation:
space group: R-3m (166)
excess energy over the best structure of this formula in the dataset: 0.238 eV/atom
electronic total energy: -34.52 eV/cell
DFT formation energy: 975.4 meV per atom

***

(6)
## PrIn2Au4 (PBE-GGA)

Data for a geometry-optimized PrIn2Au4 structure.

Cell lengths 5.869, 5.869, 5.869 Å; angles 103.89, 103.89, 121.32 degrees
Fractional coordinates of all 7 atoms:
Pr: 0.000 0.000 0.000
In: 0.250 0.750 0.500
In: 0.750 0.250 0.500
Au: 0.304 0.304 0.608
Au: 0.304 0.696 0.000
Au: 0.696 0.304 0.000
Au: 0.696 0.696 0.392

Values from the calculation:
space group: I4/mmm (139)
electronic total energy: -26.55 eV/cell
DFT formation energy: -454.6 meV per atom

***

(7)
## Er2Ni15Pd2 (PBE-GGA)

Data for a geometry-optimized Er2Ni15Pd2 structure.

Cell lengths 6.307, 6.307, 6.307 Å; angles 83.44, 83.44, 83.44 degrees
Fractional coordinates of all 19 atoms:
Er: 0.157 0.157 0.157
Er: 0.843 0.843 0.843
Ni: 0.000 0.500 0.500
Ni: 0.150 0.150 0.661
Ni: 0.150 0.661 0.150
Ni: 0.201 0.500 0.799
Ni: 0.201 0.799 0.500
Ni: 0.339 0.850 0.850
Ni: 0.500 0.000 0.500
Ni: 0.500 0.201 0.799
Ni: 0.500 0.500 0.000
Ni: 0.500 0.799 0.201
Ni: 0.661 0.150 0.150
Ni: 0.799 0.201 0.500
Ni: 0.799 0.500 0.201
Ni: 0.850 0.339 0.850
Ni: 0.850 0.850 0.339
Pd: 0.392 0.392 0.392
Pd: 0.608 0.608 0.608

Values from the calculation:
space group: R-3m (166)
electronic total energy: -110.43 eV/cell
DFT formation energy: -220.9 meV per atom

***

(8)
## BaSbTe4 (PBE-GGA)

Data for a geometry-optimized BaSbTe4 structure.

Cell lengths 6.502, 6.502, 6.502 Å; angles 60.00, 60.00, 60.00 degrees
Fractional coordinates of all 6 atoms:
Ba: 0.000 0.000 0.000
Sb: 0.750 0.750 0.750
Te: 0.376 0.376 0.376
Te: 0.376 0.376 0.873
Te: 0.376 0.873 0.376
Te: 0.873 0.376 0.376

Values from the calculation:
space group: F-43m (216)
excess energy over the best structure of this formula in the dataset: 0.364 eV/atom
raw formation energy: -0.151 eV/atom
electronic total energy: -19.52 eV/cell

***

(9)
## Hf4Sb3H (PBE-GGA)

Data for a geometry-optimized Hf4Sb3H structure.

Cell lengths 8.794, 7.479, 5.514 Å; angles 90.00, 90.00, 90.00 degrees
Fractional coordinates of all 16 atoms:
Hf: 0.000 0.122 0.000
Hf: 0.000 0.868 0.524
Hf: 0.186 0.223 0.522
Hf: 0.314 0.777 0.022
Hf: 0.500 0.132 0.024
Hf: 0.500 0.878 0.500
Hf: 0.686 0.777 0.022
Hf: 0.814 0.223 0.522
Sb: 0.000 0.737 0.025
Sb: 0.237 0.379 0.022
Sb: 0.263 0.621 0.522
Sb: 0.500 0.263 0.525
Sb: 0.737 0.621 0.522
Sb: 0.763 0.379 0.022
H: 0.000 0.110 0.363
H: 0.500 0.890 0.863

Values from the calculation:
space group: Pmn2_1 (31)
electronic total energy: -114.22 eV/cell

***

(10)
## Ti2InSn2 (PBE-GGA)

Data for a geometry-optimized Ti2InSn2 structure.

Cell lengths 7.310, 7.310, 3.985 Å; angles 90.00, 90.00, 90.00 degrees
Fractional coordinates of all 10 atoms:
Ti: 0.138 0.362 0.000
Ti: 0.362 0.862 0.000
Ti: 0.638 0.138 0.000
Ti: 0.862 0.638 0.000
In: 0.000 0.000 0.000
In: 0.500 0.500 0.000
Sn: 0.162 0.662 0.500
Sn: 0.338 0.162 0.500
Sn: 0.662 0.838 0.500
Sn: 0.838 0.338 0.500

Values from the calculation:
space group: P4/mbm (127)
excess energy over the best structure of this formula in the dataset: 0.000 eV/atom
electronic total energy: -54.52 eV/cell
DFT formation energy: -145.7 meV per atom

***

(11)
## Lu3NbO (PBE-GGA)

Data for a geometry-optimized Lu3NbO structure.

Cell lengths 4.642, 4.642, 4.642 Å; angles 90.00, 90.00, 90.00 degrees
Fractional coordinates of all 5 atoms:
Lu: 0.000 0.000 0.500
Lu: 0.000 0.500 0.000
Lu: 0.500 0.000 0.000
Nb: 0.500 0.500 0.500
O: 0.000 0.000 0.000

Values from the calculation:
space group: Pm-3m (221)
raw formation energy: -1.052 eV/atom
electronic total energy: -33.85 eV/cell

***

(12)
## Nd6Tm2Al (PBE-GGA)

Data for a geometry-optimized Nd6Tm2Al structure.

Cell lengths 10.339, 10.344, 5.447 Å; angles 90.00, 90.00, 90.00 degrees
Fractional coordinates of all 18 atoms:
Nd: 0.040 0.187 0.000
Nd: 0.124 0.623 0.500
Nd: 0.187 0.959 0.500
Nd: 0.313 0.459 0.000
Nd: 0.376 0.123 0.000
Nd: 0.460 0.687 0.500
Nd: 0.540 0.313 0.500
Nd: 0.624 0.877 0.000
Nd: 0.687 0.541 0.000
Nd: 0.813 0.041 0.500
Nd: 0.876 0.377 0.500
Nd: 0.960 0.813 0.000
Tm: 0.213 0.286 0.500
Tm: 0.287 0.786 0.000
Tm: 0.713 0.214 0.000
Tm: 0.787 0.714 0.500
Al: 0.000 0.500 0.000
Al: 0.500 0.000 0.500

Values from the calculation:
space group: Pnnm (58)
electronic total energy: -82.86 eV/cell
DFT formation energy: -15.5 meV per atom

***

(13)
## Cd13Bi3 (PBE-GGA)

Data for a geometry-optimized Cd13Bi3 structure.

Cell lengths 8.998, 6.671, 6.671 Å; angles 86.86, 90.00, 90.00 degrees
Fractional coordinates of all 16 atoms:
Cd: 0.000 0.000 0.000
Cd: 0.000 0.004 0.527
Cd: 0.000 0.513 0.513
Cd: 0.000 0.527 0.004
Cd: 0.241 0.261 0.750
Cd: 0.241 0.750 0.261
Cd: 0.243 0.743 0.743
Cd: 0.500 0.493 0.968
Cd: 0.500 0.503 0.503
Cd: 0.500 0.968 0.493
Cd: 0.757 0.743 0.743
Cd: 0.759 0.261 0.750
Cd: 0.759 0.750 0.261
Bi: 0.254 0.256 0.256
Bi: 0.500 0.975 0.975
Bi: 0.746 0.256 0.256

Values from the calculation:
space group: Amm2 (38)
electronic total energy: -22.78 eV/cell
DFT formation energy: 47.2 meV per atom

***

(14)
## Na3Dy2NpO6 (PBE-GGA)

Data for a geometry-optimized Na3Dy2NpO6 structure.

Cell lengths 5.982, 5.982, 5.972 Å; angles 99.60, 99.60, 120.01 degrees
Fractional coordinates of all 12 atoms:
Na: 0.000 0.000 0.000
Na: 0.331 0.669 0.000
Na: 0.669 0.331 0.000
Dy: 0.167 0.833 0.500
Dy: 0.833 0.167 0.500
Np: 0.500 0.500 0.500
O: 0.091 0.429 0.286
O: 0.234 0.234 0.714
O: 0.429 0.091 0.286
O: 0.571 0.909 0.714
O: 0.766 0.766 0.286
O: 0.909 0.571 0.714

Values from the calculation:
space group: C2/m (12)
raw formation energy: -2.581 eV/atom
electronic total energy: -86.82 eV/cell

***

(15)
## TaPtRh2 (PBE-GGA)

Data for a geometry-optimized TaPtRh2 structure.

Cell lengths 4.787, 4.787, 4.787 Å; angles 131.00, 131.00, 71.81 degrees
Fractional coordinates of all 4 atoms:
Ta: 0.000 0.000 0.000
Pt: 0.500 0.500 0.000
Rh: 0.250 0.750 0.500
Rh: 0.750 0.250 0.500

Values from the calculation:
space group: I4/mmm (139)
electronic total energy: -34.85 eV/cell
DFT formation energy: -563.2 meV per atom

***

(16)
## Hf3BiSe (PBE-GGA)

Data for a geometry-optimized Hf3BiSe structure.

Cell lengths 4.987, 4.987, 4.987 Å; angles 90.00, 90.00, 90.00 degrees
Fractional coordinates of all 5 atoms:
Hf: 0.000 0.000 0.500
Hf: 0.000 0.500 0.000
Hf: 0.500 0.000 0.000
Bi: 0.500 0.500 0.500
Se: 0.000 0.000 0.000

Values from the calculation:
space group: Pm-3m (221)
excess energy over the best structure of this formula in the dataset: 0.589 eV/atom
raw formation energy: 0.173 eV/atom
electronic total energy: -36.36 eV/cell

***

(17)
## Tm8InCo2 (PBE-GGA)

Data for a geometry-optimized Tm8InCo2 structure.

Cell lengths 7.763, 7.763, 5.212 Å; angles 97.31, 97.31, 112.97 degrees
Fractional coordinates of all 11 atoms:
Tm: 0.113 0.113 0.801
Tm: 0.169 0.434 0.426
Tm: 0.249 0.751 0.000
Tm: 0.434 0.169 0.426
Tm: 0.566 0.831 0.574
Tm: 0.751 0.249 0.000
Tm: 0.831 0.566 0.574
Tm: 0.887 0.887 0.199
In: 0.500 0.500 0.000
Co: 0.190 0.810 0.500
Co: 0.810 0.190 0.500

Values from the calculation:
space group: C2/m (12)
electronic total energy: -54.47 eV/cell
DFT formation energy: -158.6 meV per atom

***

(18)
## TiGa2F2 (PBE-GGA)

Data for a geometry-optimized TiGa2F2 structure.

Cell lengths 8.172, 8.172, 2.958 Å; angles 90.00, 90.00, 90.00 degrees
Fractional coordinates of all 10 atoms:
Ti: 0.000 0.000 0.000
Ti: 0.500 0.500 0.000
Ga: 0.231 0.269 0.000
Ga: 0.269 0.769 0.000
Ga: 0.731 0.231 0.000
Ga: 0.769 0.731 0.000
F: 0.113 0.387 0.500
F: 0.387 0.887 0.500
F: 0.613 0.113 0.500
F: 0.887 0.613 0.500

Values from the calculation:
space group: P4/mbm (127)
excess energy over the best structure of this formula in the dataset: 0.234 eV/atom
raw formation energy: -0.770 eV/atom
electronic total energy: -43.09 eV/cell

***

(19)
## Tb2PmPb9 (PBE-GGA)

Data for a geometry-optimized Tb2PmPb9 structure.

Cell lengths 4.898, 4.898, 14.672 Å; angles 90.00, 90.00, 90.00 degrees
Fractional coordinates of all 12 atoms:
Tb: 0.000 0.000 0.166
Tb: 0.000 0.000 0.834
Pm: 0.000 0.000 0.500
Pb: 0.000 0.500 0.000
Pb: 0.000 0.500 0.331
Pb: 0.000 0.500 0.669
Pb: 0.500 0.000 0.000
Pb: 0.500 0.000 0.331
Pb: 0.500 0.000 0.669
Pb: 0.500 0.500 0.166
Pb: 0.500 0.500 0.500
Pb: 0.500 0.500 0.834

Values from the calculation:
space group: P4/mmm (123)
electronic total energy: -51.18 eV/cell
DFT formation energy: -316.1 meV per atom

***

(20)
## KEuCdPb (PBE-GGA)

Data for a geometry-optimized KEuCdPb structure.

Cell lengths 5.735, 5.735, 5.735 Å; angles 60.00, 60.00, 60.00 degrees
Fractional coordinates of all 4 atoms:
K: 0.000 0.000 0.000
Eu: 0.500 0.500 0.500
Cd: 0.750 0.750 0.750
Pb: 0.250 0.250 0.250

Values from the calculation:
space group: F-43m (216)
electronic total energy: -16.79 eV/cell
DFT formation energy: -198.4 meV per atom

***

(21)
## BeHWAu2 (PBE-GGA)

Data for a geometry-optimized BeHWAu2 structure.

Cell lengths 5.037, 5.037, 4.686 Å; angles 90.00, 90.00, 90.00 degrees
Fractional coordinates of all 5 atoms:
Be: 0.000 0.000 0.000
H: 0.500 0.500 0.000
W: 0.000 0.000 0.500
Au: 0.000 0.500 0.500
Au: 0.500 0.000 0.500

Values from the calculation:
space group: P4/mmm (123)
electronic total energy: -17.60 eV/cell

***

(22)
## Pm3Sn2I3 (PBE-GGA)

Data for a geometry-optimized Pm3Sn2I3 structure.

Cell lengths 9.652, 9.652, 6.193 Å; angles 90.00, 90.00, 120.00 degrees
Fractional coordinates of all 16 atoms:
Pm: 0.000 0.389 0.250
Pm: 0.000 0.611 0.750
Pm: 0.389 0.000 0.250
Pm: 0.389 0.389 0.750
Pm: 0.611 0.000 0.750
Pm: 0.611 0.611 0.250
Sn: 0.333 0.667 0.000
Sn: 0.333 0.667 0.500
Sn: 0.667 0.333 0.000
Sn: 0.667 0.333 0.500
I: 0.000 0.254 0.750
I: 0.000 0.746 0.250
I: 0.254 0.000 0.750
I: 0.254 0.254 0.250
I: 0.746 0.000 0.250
I: 0.746 0.746 0.750

Values from the calculation:
space group: P6_3/mcm (193)
raw formation energy: -0.984 eV/atom
electronic total energy: -69.56 eV/cell

***

(23)
## NaY2UO6 (PBE-GGA)

Data for a geometry-optimized NaY2UO6 structure.

Cell lengths 6.143, 6.143, 6.143 Å; angles 57.03, 57.03, 57.03 degrees
Fractional coordinates of all 10 atoms:
Na: 0.000 0.000 0.000
Y: 0.271 0.271 0.271
Y: 0.781 0.781 0.781
U: 0.481 0.481 0.481
O: 0.100 0.646 0.415
O: 0.198 0.563 0.867
O: 0.415 0.100 0.646
O: 0.563 0.867 0.198
O: 0.646 0.415 0.100
O: 0.867 0.198 0.563

Values from the calculation:
space group: R3 (146)
raw formation energy: -3.160 eV/atom
electronic total energy: -86.89 eV/cell